(1)
Tb5PrNd2Dy | PBE-GGA | relaxed

CIF file:
```
data_Tb5PrNd2Dy
_symmetry_space_group_name_H-M 'I 4/m c m'
_symmetry_Int_Tables_number 140
_symmetry_space_group_name_Hall '-I 4 2c'
_cell_length_a 8.7774
_cell_length_b 8.7774
_cell_length_c 15.6137
_cell_angle_alpha 90.00
_cell_angle_beta 90.00
_cell_angle_gamma 90.00
loop_
_atom_site_label
_atom_site_fract_x
_atom_site_fract_y
_atom_site_fract_z
Tb1 0.0000 0.0000 0.0000
Tb2 0.2097 0.2903 0.1376
Pr1 0.0000 0.0000 0.2500
Nd1 0.1172 0.3828 0.5000
Dy1 0.0000 0.5000 0.2500
```

Properties
spin magnetization: 0.00 μB/cell
DFT total energy: -4.4119 eV/atom


(2)
Ac2PrAl9 | PBE-GGA | relaxed

CIF file:
```
data_Ac2PrAl9
_symmetry_space_group_name_H-M 'R -3 m'
_symmetry_Int_Tables_number 166
_symmetry_space_group_name_Hall '-R 3 2"'
_cell_length_a 5.8161
_cell_length_b 5.8161
_cell_length_c 27.2741
_cell_angle_alpha 90.00
_cell_angle_beta 90.00
_cell_angle_gamma 120.00
loop_
_atom_site_label
_atom_site_fract_x
_atom_site_fract_y
_atom_site_fract_z
Ac1 0.0000 0.0000 0.1409
Pr1 0.0000 0.0000 0.0000
Al1 0.0000 0.0000 0.3349
Al2 0.0000 0.0000 0.5000
Al3 0.0059 0.5029 0.9208
```

Properties
spin magnetization: 0.00 μB/cell
DFT total energy: -4.1953 eV/atom


(3)
Fe2ReNi | PBE-GGA | relaxed

CIF file:
```
data_Fe2ReNi
_symmetry_space_group_name_H-M 'R 3 m'
_symmetry_Int_Tables_number 160
_symmetry_space_group_name_Hall 'R 3 -2"'
_cell_length_a 2.6346
_cell_length_b 2.6346
_cell_length_c 24.7937
_cell_angle_alpha 90.00
_cell_angle_beta 90.00
_cell_angle_gamma 120.00
loop_
_atom_site_label
_atom_site_fract_x
_atom_site_fract_y
_atom_site_fract_z
Fe1 0.0000 0.0000 0.0000
Fe2 0.0000 0.0000 0.2517
Re1 0.0000 0.0000 0.7495
Ni1 0.0000 0.0000 0.5047
```

Properties
spin magnetization: 11.63 μB/cell
DFT total energy: -8.6484 eV/atom


(4)
La2TbDy2Tm | PBE-GGA | relaxed

CIF file:
```
data_La2TbDy2Tm
_symmetry_space_group_name_H-M 'P m c 21'
_symmetry_Int_Tables_number 26
_symmetry_space_group_name_Hall 'P 2c -2'
_cell_length_a 5.6953
_cell_length_b 9.8563
_cell_length_c 7.0710
_cell_angle_alpha 90.00
_cell_angle_beta 90.00
_cell_angle_gamma 90.00
loop_
_atom_site_label
_atom_site_fract_x
_atom_site_fract_y
_atom_site_fract_z
La1 0.0000 0.0005 0.0000
La2 0.5000 0.1801 0.2503
Tb1 0.0000 0.3430 0.7495
Dy1 0.0000 0.3342 0.2497
Dy2 0.5000 0.1664 0.7499
Tm1 0.5000 0.4998 0.9996
```

Properties
spin magnetization: 0.00 μB/cell
DFT total energy: -4.6266 eV/atom


(5)
AlAs2SeBr | PBE-GGA | relaxed

CIF file:
```
data_AlAs2SeBr
_symmetry_space_group_name_H-M 'P 4/m m m'
_symmetry_Int_Tables_number 123
_symmetry_space_group_name_Hall '-P 4 2'
_cell_length_a 5.0129
_cell_length_b 5.0129
_cell_length_c 4.7699
_cell_angle_alpha 90.00
_cell_angle_beta 90.00
_cell_angle_gamma 90.00
loop_
_atom_site_label
_atom_site_fract_x
_atom_site_fract_y
_atom_site_fract_z
Al1 0.0000 0.0000 0.0000
As1 0.0000 0.5000 0.0000
Se1 0.0000 0.0000 0.5000
Br1 0.5000 0.5000 0.5000
```

Properties
spin magnetization: 0.00 μB/cell
DFT total energy: -3.2307 eV/atom


(6)
CaTbCd2Au4 | PBE-GGA | relaxed

CIF file:
```
data_CaTbCd2Au4
_symmetry_space_group_name_H-M 'R -3 m'
_symmetry_Int_Tables_number 166
_symmetry_space_group_name_Hall '-R 3 2"'
_cell_length_a 4.9629
_cell_length_b 4.9629
_cell_length_c 24.2662
_cell_angle_alpha 90.00
_cell_angle_beta 90.00
_cell_angle_gamma 120.00
loop_
_atom_site_label
_atom_site_fract_x
_atom_site_fract_y
_atom_site_fract_z
Ca1 0.0000 0.0000 0.0000
Tb1 0.0000 0.0000 0.5000
Cd1 0.0000 0.0000 0.2512
Au1 0.0000 0.0000 0.1263
Au2 0.0000 0.0000 0.3766
```

Properties
spin magnetization: 0.00 μB/cell
DFT total energy: -3.3162 eV/atom


(7)
PmDy2Ho4 | PBE-GGA | relaxed

CIF file:
```
data_PmDy2Ho4
_symmetry_space_group_name_H-M 'P 1 21/m 1'
_symmetry_Int_Tables_number 11
_symmetry_space_group_name_Hall '-P 2yb'
_cell_length_a 6.2190
_cell_length_b 6.4869
_cell_length_c 11.3849
_cell_angle_alpha 90.00
_cell_angle_beta 105.31
_cell_angle_gamma 90.00
loop_
_atom_site_label
_atom_site_fract_x
_atom_site_fract_y
_atom_site_fract_z
Pm1 0.0431 0.2500 0.3628
Dy1 0.1406 0.2500 0.9508
Dy2 0.3877 0.7500 0.5065
Ho1 0.1569 0.2500 0.6664
Ho2 0.2977 0.7500 0.9259
Ho3 0.3471 0.5066 0.2130
```

Properties
spin magnetization: 0.00 μB/cell
DFT total energy: -4.4787 eV/atom


(8)
ZrRh3 | PBE-GGA | relaxed

CIF file:
```
data_ZrRh3
_symmetry_space_group_name_H-M 'P m -3 n'
_symmetry_Int_Tables_number 223
_symmetry_space_group_name_Hall '-P 4n 2 3'
_cell_length_a 5.0719
_cell_length_b 5.0719
_cell_length_c 5.0719
_cell_angle_alpha 90.00
_cell_angle_beta 90.00
_cell_angle_gamma 90.00
loop_
_atom_site_label
_atom_site_fract_x
_atom_site_fract_y
_atom_site_fract_z
Zr1 0.0000 0.0000 0.0000
Rh1 0.0000 0.2500 0.5000
```

Properties
spin magnetization: 0.03 μB/cell
DFT total energy: -7.9498 eV/atom


(9)
Al3NiOs | PBE-GGA | relaxed

CIF file:
```
data_Al3NiOs
_symmetry_space_group_name_H-M 'P m -3 m'
_symmetry_Int_Tables_number 221
_symmetry_space_group_name_Hall '-P 4 2 3'
_cell_length_a 4.3058
_cell_length_b 4.3058
_cell_length_c 4.3058
_cell_angle_alpha 90.00
_cell_angle_beta 90.00
_cell_angle_gamma 90.00
loop_
_atom_site_label
_atom_site_fract_x
_atom_site_fract_y
_atom_site_fract_z
Al1 0.0000 0.0000 0.5000
Ni1 0.0000 0.0000 0.0000
Os1 0.5000 0.5000 0.5000
```

Properties
spin magnetization: 0.00 μB/cell
DFT total energy: -5.1988 eV/atom


(10)
LaY2Th3 | PBE-GGA | relaxed

CIF file:
```
data_LaY2Th3
_symmetry_space_group_name_H-M 'C 1 2/c 1'
_symmetry_Int_Tables_number 15
_symmetry_space_group_name_Hall '-C 2yc'
_cell_length_a 17.6117
_cell_length_b 7.2080
_cell_length_c 6.2302
_cell_angle_alpha 90.00
_cell_angle_beta 90.09
_cell_angle_gamma 90.00
loop_
_atom_site_label
_atom_site_fract_x
_atom_site_fract_y
_atom_site_fract_z
La1 0.0000 0.1338 0.2500
Y1 0.1696 0.1270 0.5851
Th1 0.0000 0.3791 0.7500
Th2 0.1654 0.3811 0.0797
```

Properties
spin magnetization: 0.00 μB/cell
DFT total energy: -6.6341 eV/atom